PBE-GGA NaGa2Sb2, optimized geometry; formation energy (no corrections) = -0.132 eV per atom; DOS at the Fermi energy = 1.360 states/eV/cell; M_tot = 0.00 μB per cell; energy above the lowest structure with this stoichiometry = 0.006 eV/atom; E = -3.26 eV/atom
1.0
4.5188 0.0000 0.0000
0.0000 4.5188 0.0000
2.2594 2.2594 7.2729
Ga Sb Na
2 2 1
Direct
0.2500 0.7500 0.5000 Ga
0.7500 0.2500 0.5000 Ga
0.6340 0.6340 0.7320 Sb
0.3660 0.3660 0.2680 Sb
0.0000 0.0000 0.0000 Na